No. 1
Hg2AuSe: relaxed, PBE.

Results
- calculated density (g cm⁻³) = 10.52
- formation energy from raw total energies (eV/atom) = 0.16
- V (Å³/f.u.) = 106.9
- spin magnetization (Bohr magnetons per cell) = 0.00

Lattice parameters (Å, degrees): 7.320 7.320 6.536 55.94 55.94 90.00
Positions (direct):
Se 0.250 0.750 0.500
Se 0.500 0.500 0.000
Hg 0.621 0.125 0.250
Hg 0.375 0.379 0.750
Hg 0.129 0.625 0.250
Hg 0.875 0.871 0.750
Au 0.750 0.250 0.500
Au 0.000 0.000 0.000

No. 2
Hg2AuSe: relaxed, PBE.

Results
- calculated density (g cm⁻³) = 11.22
- formation energy from raw total energies (eV/atom) = 0.06
- V (Å³/f.u.) = 100.2
- spin magnetization (Bohr magnetons per cell) = 0.00

Lattice parameters (Å, degrees): 4.146 7.548 6.736 71.99 90.02 90.00
Positions (direct):
Au 0.118 0.036 0.182
Au 0.118 0.371 0.273
Hg 0.602 0.084 0.481
Hg 0.082 0.653 0.458
Hg 0.601 0.323 0.975
Hg 0.082 0.755 0.997
Se 0.065 0.204 0.728
Se 0.588 0.704 0.728

No. 3
Hg2AuSe: relaxed, PBE.

Results
- calculated density (g cm⁻³) = 10.94
- formation energy from raw total energies (eV/atom) = 0.18
- V (Å³/f.u.) = 102.8
- spin magnetization (Bohr magnetons per cell) = 0.00

Lattice parameters (Å, degrees): 4.078 4.078 6.678 90.00 90.00 112.21
Positions (direct):
Se 0.000 0.000 0.529
Hg 0.500 0.500 0.255
Hg 0.000 0.000 0.982
Au 0.500 0.500 0.734

No. 4
HgAu2Se: relaxed, PBE.

Results
- calculated density (g cm⁻³) = 13.28
- formation energy from raw total energies (eV/atom) = 0.22
- V (Å³/f.u.) = 84.2
- spin magnetization (Bohr magnetons per cell) = 0.00

Lattice parameters (Å, degrees): 10.397 10.397 10.397 17.04 17.04 17.04
Positions (direct):
Se 0.736 0.736 0.736
Hg 0.509 0.509 0.509
Au 0.998 0.998 0.998
Au 0.257 0.257 0.257

No. 5
HgAu2Se: relaxed, PBE.

Results
- calculated density (g cm⁻³) = 12.16
- formation energy from raw total energies (eV/atom) = 0.13
- V (Å³/f.u.) = 92.0
- spin magnetization (Bohr magnetons per cell) = 0.00

Lattice parameters (Å, degrees): 6.972 6.972 4.481 96.32 96.32 25.15
Positions (direct):
Hg 0.473 0.473 0.411
Se 0.255 0.255 0.334
Au 0.728 0.728 0.819
Au 0.045 0.045 0.937

No. 6
HgAu2Se: relaxed, PBE.

Results
- calculated density (g cm⁻³) = 11.72
- formation energy from raw total energies (eV/atom) = 0.11
- V (Å³/f.u.) = 95.4
- spin magnetization (Bohr magnetons per cell) = 0.00

Lattice parameters (Å, degrees): 3.777 3.777 6.688 90.00 90.00 90.00
Positions (direct):
Au 0.500 0.500 0.286
Au 0.000 0.000 0.878
Hg 0.000 0.000 0.436
Se 0.500 0.500 0.900

No. 7
HgAu2Se: relaxed, PBE.

Results
- calculated density (g cm⁻³) = 14.01
- formation energy from raw total energies (eV/atom) = 0.23
- V (Å³/f.u.) = 79.8
- spin magnetization (Bohr magnetons per cell) = 0.00

Lattice parameters (Å, degrees): 4.355 4.355 4.207 90.00 90.00 90.00
Positions (direct):
Se 0.000 0.500 0.500
Hg 0.500 0.000 0.500
Au 0.500 0.500 0.000
Au 0.000 0.000 0.000

No. 8
Hg2AuSe2: relaxed, PBE.

Results
- calculated density (g cm⁻³) = 9.79
- formation energy from raw total energies (eV/atom) = 0.07
- V (Å³/f.u.) = 128.2
- spin magnetization (Bohr magnetons per cell) = 0.00

Lattice parameters (Å, degrees): 7.657 7.657 4.374 90.00 90.00 90.00
Positions (direct):
Se 0.276 0.776 0.000
Se 0.724 0.224 0.000
Se 0.776 0.724 0.000
Se 0.224 0.276 0.000
Hg 0.374 0.126 0.500
Hg 0.874 0.374 0.500
Hg 0.626 0.874 0.500
Hg 0.126 0.626 0.500
Au 0.000 0.000 0.000
Au 0.500 0.500 0.000

No. 9
HgAu2Se: relaxed, PBE.

Results
- calculated density (g cm⁻³) = 14.03
- formation energy from raw total energies (eV/atom) = 0.22
- V (Å³/f.u.) = 79.7
- spin magnetization (Bohr magnetons per cell) = 0.00

Lattice parameters (Å, degrees): 5.356 5.356 5.356 133.31 133.47 68.04
Positions (direct):
Au 0.750 0.250 0.500
Au 0.000 0.000 0.000
Hg 0.500 0.500 0.000
Se 0.250 0.750 0.500

No. 10
HgAu2Se: relaxed, PBE.

Results
- calculated density (g cm⁻³) = 12.83
- formation energy from raw total energies (eV/atom) = 0.14
- V (Å³/f.u.) = 87.1
- spin magnetization (Bohr magnetons per cell) = 0.00

Lattice parameters (Å, degrees): 4.276 4.276 7.627 77.03 77.03 40.06
Positions (direct):
Se 0.250 0.250 0.250
Hg 0.750 0.750 0.750
Au 0.005 0.005 0.014
Au 0.495 0.495 0.486

No. 11
HgAu2Se: relaxed, PBE.

Results
- calculated density (g cm⁻³) = 12.61
- formation energy from raw total energies (eV/atom) = 0.13
- V (Å³/f.u.) = 88.7
- spin magnetization (Bohr magnetons per cell) = 0.00

Lattice parameters (Å, degrees): 6.646 6.646 6.646 35.55 35.55 35.55
Positions (direct):
Hg 0.250 0.250 0.250
Se 0.750 0.750 0.750
Au 0.005 0.005 0.005
Au 0.495 0.495 0.495

No. 12
HgAu2Se: relaxed, PBE.

Results
- calculated density (g cm⁻³) = 9.57
- formation energy from raw total energies (eV/atom) = 0.08
- V (Å³/f.u.) = 116.9
- spin magnetization (Bohr magnetons per cell) = 0.00

Lattice parameters (Å, degrees): 5.661 5.661 8.320 70.11 70.11 90.00
Positions (direct):
Au 0.536 0.125 0.250
Au 0.375 0.464 0.750
Au 0.875 0.786 0.750
Au 0.214 0.625 0.250
Se 0.250 0.750 0.500
Se 0.500 0.500 0.000
Hg 0.000 0.000 0.000
Hg 0.750 0.250 0.500

- The lowest formation energy from raw total energies belongs to which entry?
  number 2